1.
Entry from the Alexandria database: a relaxed Sm2AsPb crystal (PBE).

Calculated values
energy above the lowest structure with this stoichiometry	50	meV per atom
formation energy	-0.950	eV per atom
crystal system	trigonal
magnetization	0.00	μB/f.u.
electronic total energy	-5.399	eV/atom

a = 4.0609 Å, b = 4.0609 Å, c = 24.9624 Å
α = 90.00°, β = 90.00°, γ = 120.00°
With the nearest neighbours (Å) after each atom.
Space group R3m (No. 160, hexagonal axes)
One atom of each set of equivalent atoms:
Sm: 0.0000 0.0000 0.0000 (multiplicity 3)  3 As 2.91
Sm: 0.0000 0.0000 0.1973 (multiplicity 3)  3 As 2.88
As: 0.0000 0.0000 0.5978 (multiplicity 3)  6 Sm 2.88-2.91
Pb: 0.0000 0.0000 0.7659 (multiplicity 3)  6 Sm 3.39-3.41

2.
Entry from the Alexandria database: a relaxed Sm3AsPb crystal (PBE).

Calculated values
formation energy	-0.857	eV per atom
crystal system	orthorhombic
magnetization	0.57	μB/f.u.
electronic total energy	-5.360	eV/atom

a = 8.7033 Å, b = 4.3918 Å, c = 15.5705 Å
α = 90.00°, β = 90.00°, γ = 90.00°
With the nearest neighbours (Å) after each atom.
Space group Pnma (No. 62)
One atom of each set of equivalent atoms:
Sm: 0.0197 0.2500 0.1078 (multiplicity 4)  3 As 2.91-2.94
Sm: 0.1528 0.2500 0.5262 (multiplicity 4)  2 As 2.91
Sm: 0.1765 0.7500 0.2824 (multiplicity 4)  1 As 2.81
As: 0.1831 0.2500 0.9451 (multiplicity 4)  6 Sm 2.81-2.94
Pb: 0.0998 0.7500 0.6828 (multiplicity 4)  8 Sm 3.30-3.51

3.
Entry from the Alexandria database: a relaxed Sm2AsPb crystal (PBE).

Calculated values
energy above the lowest structure with this stoichiometry	0	meV per atom
formation energy	-1.000	eV per atom
crystal system	trigonal
magnetization	0.00	μB/f.u.
electronic total energy	-5.450	eV/atom

a = 4.1449 Å, b = 4.1449 Å, c = 23.7300 Å
α = 90.00°, β = 90.00°, γ = 120.00°
With the nearest neighbours (Å) after each atom.
Space group R-3m (No. 166, hexagonal axes)
One atom of each set of equivalent atoms:
Sm: 0.0000 0.0000 0.2380 (multiplicity 6)  3 As 2.93
As: 0.0000 0.0000 0.5000 (multiplicity 3)  6 Sm 2.93
Pb: 0.0000 0.0000 0.0000 (multiplicity 3)  6 Sm 3.29

4.
Entry from the Alexandria database: a relaxed Sm6TeAs2Pb3 crystal (PBE).

Calculated values
crystal system	monoclinic
magnetization	0.00	μB/f.u.
raw formation energy	-0.98	eV/atom
electronic total energy	-5.304	eV/atom

a = 19.7397 Å, b = 4.2528 Å, c = 9.1480 Å
α = 90.00°, β = 109.18°, γ = 90.00°
With the nearest neighbours (Å) after each atom.
Space group C2/m (No. 12)
One atom of each set of equivalent atoms:
Sm: 0.0099 0.0000 0.2527 (multiplicity 4)  1 As 2.96, 2 Te 3.10, 3 Pb 3.16-3.24
Sm: 0.1674 0.5000 0.1032 (multiplicity 4)  2 As 2.98, 1 Te 3.12, 3 Pb 3.20-3.28
Sm: 0.1741 0.5000 0.5629 (multiplicity 4)  3 As 2.95-2.97, 3 Pb 3.28-3.29
Te: 0.0000 0.5000 0.0000 (multiplicity 2)  6 Sm 3.10-3.12
As: 0.1676 0.0000 0.3315 (multiplicity 4)  6 Sm 2.95-2.98
Pb: 0.0000 0.5000 0.5000 (multiplicity 2)  6 Sm 3.16-3.29
Pb: 0.1625 0.0000 0.8269 (multiplicity 4)  6 Sm 3.20-3.28

- Among the records above, which one has the highest magnetization?
  Sm3AsPb